# 1
# ZrZnPb2, optimized geometry, DFT GGA-PBE
# - total energy (Ry/atom) = -0.314
# - calculated formation energy (eV/atom) = 0.033
# - calculated volume (Å³/cell) = 96.26
# - total moment (Bohr magnetons per cell) = 0.000
data_ZrZnPb2
_symmetry_space_group_name_H-M 'P 4/m m m'
_symmetry_Int_Tables_number 123
_symmetry_space_group_name_Hall '-P 4 2'
_cell_length_a 5.3938
_cell_length_b 5.3938
_cell_length_c 3.3086
_cell_angle_alpha 90.00
_cell_angle_beta 90.00
_cell_angle_gamma 90.00
loop_
_atom_site_label
_atom_site_fract_x
_atom_site_fract_y
_atom_site_fract_z
_atom_site_occupancy
Zr1 0.0000 0.0000 0.0000 1
Zn1 0.5000 0.5000 0.0000 1
Pb1 0.0000 0.5000 0.5000 1

# 2
# Zr2ZnPb, optimized geometry, DFT GGA-PBE
# - total energy (Ry/atom) = -0.409
# - calculated formation energy (eV/atom) = -0.042
# - calculated volume (Å³/cell) = 89.65
# - total moment (Bohr magnetons per cell) = 0.000
data_Zr2ZnPb
_symmetry_space_group_name_H-M 'P m m 2'
_symmetry_Int_Tables_number 25
_cell_length_a 3.4889
_cell_length_b 4.1156
_cell_length_c 6.2436
_cell_angle_alpha 90.00
_cell_angle_beta 90.00
_cell_angle_gamma 90.00
loop_
_symmetry_equiv_pos_as_xyz
'x,y,z'
'-x,-y,z'
'-x,y,z'
'x,-y,z'
loop_
_atom_site_label
_atom_site_fract_x
_atom_site_fract_y
_atom_site_fract_z
_atom_site_occupancy
Zr1 0.0000 0.0000 0.0000 1
Zr2 0.5000 0.5000 0.2475 1
Zn1 0.5000 0.5000 0.7821 1
Pb1 0.0000 0.0000 0.5138 1

# 3
# ZrZn2Pb, optimized geometry, DFT GGA-PBE
# - total energy (Ry/atom) = -0.270
# - calculated formation energy (eV/atom) = 0.023
# - calculated volume (Å³/cell) = 170.27
# - total moment (Bohr magnetons per cell) = 0.000
data_ZrZn2Pb
_symmetry_space_group_name_H-M 'C 1 2/m 1'
_symmetry_Int_Tables_number 12
_cell_length_a 10.8883
_cell_length_b 3.2172
_cell_length_c 5.1571
_cell_angle_alpha 90.00
_cell_angle_beta 109.52
_cell_angle_gamma 90.00
loop_
_symmetry_equiv_pos_as_xyz
'x,y,z'
'-x,-y,-z'
'-x,y,-z'
'x,-y,z'
'x+1/2,y+1/2,z'
'-x+1/2,-y+1/2,-z'
'-x+1/2,y+1/2,-z'
'x+1/2,-y+1/2,z'
loop_
_atom_site_label
_atom_site_fract_x
_atom_site_fract_y
_atom_site_fract_z
_atom_site_occupancy
Zr1 0.0000 0.0000 0.0000 1
Zn1 0.2386 0.5000 0.2103 1
Pb1 0.0000 0.5000 0.5000 1

# 4
# ZrZn2Pb, optimized geometry, DFT GGA-PBE
# - total energy (Ry/atom) = -0.274
# - calculated formation energy (eV/atom) = -0.033
# - calculated volume (Å³/cell) = 81.84
# - total moment (Bohr magnetons per cell) = 0.000
data_ZrZn2Pb
_symmetry_space_group_name_H-M 'P 4 m m'
_symmetry_Int_Tables_number 99
_cell_length_a 3.3528
_cell_length_b 3.3528
_cell_length_c 7.2801
_cell_angle_alpha 90.00
_cell_angle_beta 90.00
_cell_angle_gamma 90.00
loop_
_symmetry_equiv_pos_as_xyz
'x,y,z'
'-y,x,z'
'-x,-y,z'
'y,-x,z'
'-x,y,z'
'y,x,z'
'x,-y,z'
'-y,-x,z'
loop_
_atom_site_label
_atom_site_fract_x
_atom_site_fract_y
_atom_site_fract_z
_atom_site_occupancy
Zr1 0.0000 0.0000 0.0000 1
Zn1 0.0000 0.0000 0.5955 1
Zn2 0.5000 0.5000 0.7688 1
Pb1 0.5000 0.5000 0.3135 1

# 5
# ZrZnPb2, optimized geometry, DFT GGA-PBE
# - total energy (Ry/atom) = -0.311
# - calculated formation energy (eV/atom) = 0.082
# - calculated volume (Å³/cell) = 293.40
# - total moment (Bohr magnetons per cell) = 0.000
data_ZrZnPb2
_symmetry_space_group_name_H-M 'R -3 m'
_symmetry_Int_Tables_number 166
_symmetry_space_group_name_Hall '-R 3 2"'
_cell_length_a 3.4476
_cell_length_b 3.4476
_cell_length_c 28.5031
_cell_angle_alpha 90.00
_cell_angle_beta 90.00
_cell_angle_gamma 120.00
loop_
_atom_site_label
_atom_site_fract_x
_atom_site_fract_y
_atom_site_fract_z
_atom_site_occupancy
Zr1 0.0000 0.0000 0.0000 1
Zn1 0.0000 0.0000 0.5000 1
Pb1 0.0000 0.0000 0.2455 1

# 6
# ZrZnPb2, optimized geometry, DFT GGA-PBE
# - total energy (Ry/atom) = -0.309
# - calculated formation energy (eV/atom) = 0.108
# - calculated volume (Å³/cell) = 195.02
# - total moment (Bohr magnetons per cell) = 0.000
data_ZrZnPb2
_symmetry_space_group_name_H-M 'C 1 2/m 1'
_symmetry_Int_Tables_number 12
_cell_length_a 10.7995
_cell_length_b 3.2883
_cell_length_c 5.5475
_cell_angle_alpha 90.00
_cell_angle_beta 98.13
_cell_angle_gamma 90.00
loop_
_symmetry_equiv_pos_as_xyz
'x,y,z'
'-x,-y,-z'
'-x,y,-z'
'x,-y,z'
'x+1/2,y+1/2,z'
'-x+1/2,-y+1/2,-z'
'-x+1/2,y+1/2,-z'
'x+1/2,-y+1/2,z'
loop_
_atom_site_label
_atom_site_fract_x
_atom_site_fract_y
_atom_site_fract_z
_atom_site_occupancy
Zr1 0.0000 0.0000 0.0000 1
Zn1 0.0000 0.5000 0.5000 1
Pb1 0.2457 0.5000 0.2452 1

# 7
# ZrZnPb2, optimized geometry, DFT GGA-PBE
# - total energy (Ry/atom) = -0.294
# - calculated formation energy (eV/atom) = 0.310
# - calculated volume (Å³/cell) = 404.05
# - total moment (Bohr magnetons per cell) = 1.752
data_ZrZnPb2
_symmetry_space_group_name_H-M 'F -4 3 m'
_symmetry_Int_Tables_number 216
_symmetry_space_group_name_Hall 'F -4 2 3'
_cell_length_a 7.3929
_cell_length_b 7.3929
_cell_length_c 7.3929
_cell_angle_alpha 90.00
_cell_angle_beta 90.00
_cell_angle_gamma 90.00
loop_
_atom_site_label
_atom_site_fract_x
_atom_site_fract_y
_atom_site_fract_z
_atom_site_occupancy
Zr1 0.0000 0.0000 0.0000 1
Zn1 0.2500 0.2500 0.7500 1
Pb1 0.0000 0.0000 0.5000 1
Pb2 0.2500 0.2500 0.2500 1

# 8
# ZrZnPb2, optimized geometry, DFT GGA-PBE
# - total energy (Ry/atom) = -0.318
# - calculated formation energy (eV/atom) = -0.017
# - calculated volume (Å³/cell) = 98.33
# - total moment (Bohr magnetons per cell) = 0.000
data_ZrZnPb2
_symmetry_space_group_name_H-M 'P 1 m 1'
_symmetry_Int_Tables_number 6
_cell_length_a 3.6650
_cell_length_b 4.6688
_cell_length_c 6.0280
_cell_angle_alpha 90.00
_cell_angle_beta 107.59
_cell_angle_gamma 90.00
loop_
_symmetry_equiv_pos_as_xyz
'x,y,z'
'x,-y,z'
loop_
_atom_site_label
_atom_site_fract_x
_atom_site_fract_y
_atom_site_fract_z
_atom_site_occupancy
Zr1 0.0000 0.0000 0.0000 1
Zn1 0.8496 0.5000 0.6992 1
Pb1 0.2745 0.0000 0.5471 1
Pb2 0.5685 0.5000 0.1382 1

# 9
# ZrZnPb2, optimized geometry, DFT GGA-PBE
# - total energy (Ry/atom) = -0.315
# - calculated formation energy (eV/atom) = 0.019
# - calculated volume (Å³/cell) = 187.80
# - total moment (Bohr magnetons per cell) = 0.000
data_ZrZnPb2
_symmetry_space_group_name_H-M 'I 4/m m m'
_symmetry_Int_Tables_number 139
_symmetry_space_group_name_Hall '-I 4 2'
_cell_length_a 4.4390
_cell_length_b 4.4390
_cell_length_c 9.5305
_cell_angle_alpha 90.00
_cell_angle_beta 90.00
_cell_angle_gamma 90.00
loop_
_atom_site_label
_atom_site_fract_x
_atom_site_fract_y
_atom_site_fract_z
_atom_site_occupancy
Zr1 0.0000 0.0000 0.0000 1
Zn1 0.0000 0.0000 0.5000 1
Pb1 0.0000 0.5000 0.2500 1

# 10
# Zr2Zn2Pb, optimized geometry, DFT GGA-PBE
# - total energy (Ry/atom) = -0.356
# - calculated formation energy (eV/atom) = -0.172
# - calculated volume (Å³/cell) = 200.63
# - total moment (Bohr magnetons per cell) = 0.000
data_Zr2Zn2Pb
_symmetry_space_group_name_H-M 'P 4/m b m'
_symmetry_Int_Tables_number 127
_symmetry_space_group_name_Hall '-P 4 2ab'
_cell_length_a 7.0342
_cell_length_b 7.0342
_cell_length_c 4.0548
_cell_angle_alpha 90.00
_cell_angle_beta 90.00
_cell_angle_gamma 90.00
loop_
_atom_site_label
_atom_site_fract_x
_atom_site_fract_y
_atom_site_fract_z
_atom_site_occupancy
Zr1 0.1709 0.3291 0.0000 1
Zn1 0.1218 0.6218 0.5000 1
Pb1 0.0000 0.0000 0.5000 1

# 11
# ZrZn2Pb, optimized geometry, DFT GGA-PBE
# - total energy (Ry/atom) = -0.273
# - calculated formation energy (eV/atom) = -0.008
# - calculated volume (Å³/cell) = 83.57
# - total moment (Bohr magnetons per cell) = 0.000
data_ZrZn2Pb
_symmetry_space_group_name_H-M 'P m m m'
_symmetry_Int_Tables_number 47
_cell_length_a 3.2996
_cell_length_b 4.1716
_cell_length_c 6.0715
_cell_angle_alpha 90.00
_cell_angle_beta 90.00
_cell_angle_gamma 90.00
loop_
_symmetry_equiv_pos_as_xyz
'x,y,z'
'-x,-y,-z'
'-x,-y,z'
'x,y,-z'
'x,-y,-z'
'-x,y,z'
'-x,y,-z'
'x,-y,z'
loop_
_atom_site_label
_atom_site_fract_x
_atom_site_fract_y
_atom_site_fract_z
_atom_site_occupancy
Zr1 0.0000 0.0000 0.0000 1
Zn1 0.5000 0.5000 0.2151 1
Pb1 0.0000 0.0000 0.5000 1

# 12
# ZrZn2Pb, optimized geometry, DFT GGA-PBE
# - total energy (Ry/atom) = -0.275
# - calculated formation energy (eV/atom) = -0.036
# - calculated volume (Å³/cell) = 164.12
# - total moment (Bohr magnetons per cell) = 0.000
data_ZrZn2Pb
_symmetry_space_group_name_H-M 'C m m 2'
_symmetry_Int_Tables_number 35
_cell_length_a 4.5053
_cell_length_b 4.9872
_cell_length_c 7.3045
_cell_angle_alpha 90.00
_cell_angle_beta 90.00
_cell_angle_gamma 90.00
loop_
_symmetry_equiv_pos_as_xyz
'x,y,z'
'-x,-y,z'
'-x,y,z'
'x,-y,z'
'x+1/2,y+1/2,z'
'-x+1/2,-y+1/2,z'
'-x+1/2,y+1/2,z'
'x+1/2,-y+1/2,z'
loop_
_atom_site_label
_atom_site_fract_x
_atom_site_fract_y
_atom_site_fract_z
_atom_site_occupancy
Zr1 0.0000 0.0000 0.0000 1
Zn1 0.0000 0.0000 0.4067 1
Zn2 0.0000 0.5000 0.2311 1
Pb1 0.0000 0.5000 0.6886 1

Question: Number 3 is which compound?
Answer: ZrZn2Pb